Entry 1:
Density functional theory data (PBE-GGA) for Cs2HgN after structural relaxation.

abc: 5.8930 5.8930 5.8930
angles: 60.00 60.00 60.00
With the nearest neighbours (Å) after each atom.
Atoms (fractional coordinates):
Cs: 0.2500 0.2500 0.2500  4 Hg 3.61, 4 N 3.61
Cs: 0.7500 0.7500 0.7500  4 Hg 3.61, 4 N 3.61
Hg: 0.5000 0.5000 0.5000  8 Cs 3.61
N: 0.0000 0.0000 0.0000  8 Cs 3.61

Output
The uncorrected formation energy is 0.664 eV per atom. The symmetry is Fm-3m (225). For the total energy, the calculation gives -1.92 eV per atom. The calculation puts the energy relative to the lowest polymorph listed for this composition at 0.117 eV per atom.



Entry 2:
Density functional theory data (PBE-GGA) for CsHg3N after structural relaxation.

abc: 5.2512 5.2512 5.2512
angles: 90.00 90.00 90.00
With the nearest neighbours (Å) after each atom.
Atoms (fractional coordinates):
Cs: 0.5000 0.5000 0.5000  12 Hg 3.71
Hg: 0.0000 0.5000 0.0000  2 N 2.63
Hg: 0.0000 0.0000 0.5000  2 N 2.63
Hg: 0.5000 0.0000 0.0000  2 N 2.63
N: 0.0000 0.0000 0.0000  6 Hg 2.63

Output
The uncorrected formation energy is 0.616 eV per atom. The symmetry is Pm-3m (221). For the total energy, the calculation gives -1.40 eV per atom. The calculation puts the energy relative to the lowest polymorph listed for this composition at 0.000 eV per atom.



Entry 3:
Density functional theory data (PBE-GGA) for CsHg2N2 after structural relaxation.

abc: 3.9642 7.4346 7.2347
angles: 127.90 74.12 74.56
With the nearest neighbours (Å) after each atom.
Atoms (fractional coordinates):
Cs: 0.0000 0.0000 0.0000  4 N 3.45-3.46, 4 Hg 3.54-3.82
Hg: 0.5176 0.2812 0.6841  2 N 2.10
Hg: 0.4824 0.7188 0.3159  2 N 2.10
N: 0.1082 0.2325 0.5512  2 Hg 2.10
N: 0.8918 0.7675 0.4488  2 Hg 2.10

Output
The uncorrected formation energy is 0.935 eV per atom. The symmetry is C2/m (12). For the total energy, the calculation gives -2.69 eV per atom. The calculation puts the energy relative to the lowest polymorph listed for this composition at 0.000 eV per atom.



Entry 4:
Density functional theory data (PBE-GGA) for CsHgN after structural relaxation.

abc: 4.9743 9.3752 5.4640
angles: 90.00 92.51 90.00
With the nearest neighbours (Å) after each atom.
Atoms (fractional coordinates):
Cs: 0.6133 0.0000 0.6352  2 N 3.20-3.21
Cs: 0.6138 0.5000 0.1237  8 Hg 3.92-4.07
Hg: 0.1137 0.3365 0.6239  1 Hg 3.07
Hg: 0.1137 0.6635 0.6239  1 Hg 3.07
N: 0.0311 0.0000 0.2054  1 N 1.14
N: 0.1955 0.0000 0.0657  1 N 1.14

Output
The uncorrected formation energy is -0.149 eV per atom. The symmetry is Pm (6). For the total energy, the calculation gives -3.31 eV per atom.



Entry 5:
Density functional theory data (PBE-GGA) for CsHgN after structural relaxation.

abc: 5.1391 7.3291 8.3741
angles: 115.95 61.85 90.00
With the nearest neighbours (Å) after each atom.
Atoms (fractional coordinates):
Hg: 0.1478 0.0687 0.1374  2 Hg 3.09-3.14
Hg: 0.8522 0.9313 0.8626  2 Hg 3.09-3.14
Cs: 0.2138 0.3207 0.6414  3 N 3.12-3.28
Cs: 0.7862 0.6793 0.3586  3 N 3.12-3.28
N: 0.5334 0.5312 0.0624  1 N 1.16
N: 0.4666 0.4688 0.9376  1 N 1.16

Output
The uncorrected formation energy is -0.113 eV per atom. The symmetry is C2/m (12). For the total energy, the calculation gives -3.27 eV per atom.



Entry 6:
Density functional theory data (PBE-GGA) for CsHgN after structural relaxation.

abc: 9.8248 5.3766 9.1249
angles: 90.00 105.74 90.00
With the nearest neighbours (Å) after each atom.
Atoms (fractional coordinates):
Cs: 0.2295 0.0000 0.9174  1 N 3.29
Cs: 0.7705 0.0000 0.0826  1 N 3.29
Cs: 0.2295 0.5000 0.4174  1 N 3.29
Cs: 0.7705 0.5000 0.5826  1 N 3.29
Hg: 0.5004 0.0000 0.6689  3 Hg 3.07-3.08
Hg: 0.4996 0.0000 0.3311  3 Hg 3.07-3.08
Hg: 0.5004 0.5000 0.1689  3 Hg 3.07-3.08
Hg: 0.4996 0.5000 0.8311  3 Hg 3.07-3.08
N: 0.9707 0.0000 0.4358  1 N 1.16
N: 0.0293 0.0000 0.5642  1 N 1.16
N: 0.9707 0.5000 0.9358  1 N 1.16
N: 0.0293 0.5000 0.0642  1 N 1.16

Output
The uncorrected formation energy is -0.186 eV per atom. The symmetry is C2/m (12). For the total energy, the calculation gives -3.35 eV per atom.